Computed, not measured: a relaxed K2GaSbI crystal at the PBE-GGA level of DFT.

extended XYZ file:
```
5
Lattice="6.633 0.000 0.000 0.000 5.749 0.000 0.000 0.000 6.633" Properties=species:S:1:pos:R:3 pbc="T T T"
K 0.000 0.000 3.317
I 0.000 2.875 0.000
Sb 3.317 2.875 3.317
Ga 0.000 0.000 0.000
K 3.317 0.000 0.000
```

=====

Computed, not measured: a relaxed KGaSb2I crystal at the PBE-GGA level of DFT.

Output
The polymorph energy (0 for the lowest one) comes out at 836.7 meV/atom.

extended XYZ file:
```
5
Lattice="6.232 0.000 0.000 0.000 6.232 0.000 0.000 0.000 6.414" Properties=species:S:1:pos:R:3 pbc="T T T"
Sb 3.116 0.000 0.000
K 0.000 0.000 0.000
I 0.000 0.000 3.207
Sb 0.000 3.116 0.000
Ga 3.116 3.116 3.207
```

=====

Computed, not measured: a relaxed K2GaSbI6 crystal at the PBE-GGA level of DFT.

extended XYZ file:
```
10
Lattice="-2.673 7.688 2.432 -8.292 1.847 -0.112 -4.274 0.814 7.566" Properties=species:S:1:pos:R:3 pbc="T T T"
Sb -3.674 3.106 0.981
K -4.220 1.021 6.971
I -8.519 8.892 4.374
I -10.064 5.488 6.947
I -5.830 5.883 7.470
Ga -11.302 8.250 6.013
I -4.086 4.914 3.394
I -7.477 2.196 6.038
I -9.821 3.364 2.332
K -7.555 5.420 4.239
```

=====

Computed, not measured: a relaxed KScGa2I6 crystal at the PBE-GGA level of DFT.

extended XYZ file:
```
10
Lattice="8.142 0.001 0.002 4.072 7.048 0.002 4.072 2.351 7.375" Properties=species:S:1:pos:R:3 pbc="T T T"
I 6.881 7.331 1.708
Ga 8.144 4.701 3.410
I 6.492 2.292 1.707
I 11.053 4.478 1.708
Sc 4.071 2.350 0.124
Ga 4.070 2.351 7.290
I 9.442 2.773 5.689
K 12.214 7.050 3.997
I 5.826 4.540 5.688
I 9.163 6.788 5.688
```

=====

Computed, not measured: a relaxed K2ScGaI6 crystal at the PBE-GGA level of DFT.

extended XYZ file:
```
10
Lattice="8.439 0.000 0.001 4.220 7.308 0.001 4.220 2.437 7.036" Properties=species:S:1:pos:R:3 pbc="T T T"
I 9.243 2.644 5.517
I 6.572 1.964 1.852
I 11.892 4.710 1.852
Sc 4.220 2.436 0.214
K 4.220 2.437 6.418
I 6.854 7.944 1.851
I 9.968 6.683 5.517
Ga 12.660 7.309 3.846
I 6.107 5.292 5.517
K 8.439 4.872 2.707
```

=====

Computed, not measured: a relaxed KGaSe2I crystal at the PBE-GGA level of DFT.

extended XYZ file:
```
5
Lattice="-1.977 -5.330 1.764 3.755 -2.901 -4.556 4.469 -0.363 3.914" Properties=species:S:1:pos:R:3 pbc="T T T"
I 3.123 -4.297 0.561
Se 2.235 -0.181 1.957
K 0.000 0.000 0.000
Ga 1.877 -1.450 -2.278
Se -0.989 -2.665 0.882
```

=====

Short version: energy relative to the elements, uncorrected = 141, 786, -795, -913, -1141, 555 meV/atom, in the order given.